## LiCaLa2S4 (PBE-GGA)

Data for a relaxed LiCaLa2S4 crystal.

extended XYZ file:
```
16
Lattice="-4.038 4.110 5.758 4.038 -4.110 5.758 4.038 4.110 -5.758" Properties=species:S:1:pos:R:3 pbc="T T T"
Li 0.000 0.000 0.000
Li 0.000 4.110 0.000
Ca -2.019 2.055 2.879
Ca 2.019 2.055 2.879
La 2.019 2.055 -2.879
La 2.019 -2.055 2.879
La 4.038 0.000 0.000
La 0.000 0.000 5.758
S 0.000 0.047 2.831
S 1.970 2.055 0.022
S 2.068 -2.055 5.780
S 4.038 0.047 2.927
S 0.000 4.063 2.831
S 1.970 6.166 -0.022
S 2.068 2.055 5.735
S 4.038 4.063 2.927
```

Summary:
Formation energy without anion corrections ... -15.7 eV per formula unit
Symmetry ... Imma (74)